Ba2SiBiAu6 | PBE | optimized geometry

Results
SG	No. 166
density of states at the Fermi level	0.36	states/eV/atom
uncorrected formation energy	-507	meV/atom

extended XYZ file:
```
20
Lattice="3.3753 1.9487 13.2561 -3.3753 1.9487 13.2561 0.0000 -3.8974 13.2561" Properties=species:S:1:pos:R:3 pbc="T T T"
Ba 0.0000 0.0000 4.4495
Ba 0.0000 0.0000 11.0536
Ba 0.0000 0.0000 28.7148
Ba 0.0000 0.0000 35.3188
Si 0.0000 0.0000 0.0000
Si 0.0000 0.0000 19.8842
Bi 0.0000 0.0000 16.7856
Bi 0.0000 0.0000 22.9827
Au -1.9800 -1.1432 18.8645
Au 0.0000 -1.6702 14.2823
Au -1.4464 0.8351 14.2823
Au 0.0000 -2.2863 20.9038
Au -1.9800 1.1432 20.9038
Au -1.4464 -0.8351 25.4860
Au 1.4464 0.8351 14.2823
Au 1.9800 -1.1432 18.8645
Au 0.0000 2.2863 18.8645
Au 1.4464 -0.8351 25.4861
Au 0.0000 1.6702 25.4861
Au 1.9800 1.1432 20.9038
```

***

Be2FeNi2 | PBE | optimized geometry

Results
SG	No. 127
density of states at the Fermi level	0.90	states/eV/atom
polymorph energy (0 for the lowest one)	0.0	kJ per mole of atoms

extended XYZ file:
```
10
Lattice="6.2244 0.0000 0.0000 0.0000 6.2244 0.0000 0.0000 0.0000 2.4947" Properties=species:S:1:pos:R:3 pbc="T T T"
Be 0.7912 2.3210 0.0000
Be 2.3210 5.4332 0.0000
Be 3.9034 0.7912 0.0000
Be 5.4332 3.9034 0.0000
Fe 0.0000 0.0000 0.0000
Fe 3.1122 3.1122 0.0000
Ni 1.0445 4.1567 1.2474
Ni 2.0677 1.0445 1.2474
Ni 4.1567 5.1799 1.2474
Ni 5.1799 2.0677 1.2474
```

***

Ca2Tl3 | PBE | optimized geometry

Results
SG	No. 36
density of states at the Fermi level	0.53	states/eV/atom
polymorph energy (0 for the lowest one)	5.6	kJ per mole of atoms

extended XYZ file:
```
10
Lattice="4.2475 -4.9079 0.0000 4.2475 4.9079 0.0000 0.0000 0.0000 7.6896" Properties=species:S:1:pos:R:3 pbc="T T T"
Ca 2.0238 1.0986 0.0000
Ca 2.0238 -1.0986 3.8448
Ca 6.4711 1.0986 0.0000
Ca 6.4711 -1.0986 3.8448
Tl 4.2475 3.6229 7.0623
Tl 4.2475 1.8026 2.1995
Tl 4.2475 1.2191 5.1668
Tl 4.2475 -1.2191 1.3220
Tl 4.2475 -1.8026 6.0443
Tl 4.2475 -3.6229 3.2176
```

***

Sm2ErP | PBE | optimized geometry

Results
SG	No. 166
total DFT energy (no corrections)	-21.27	eV for the cell shown
density of states at the Fermi level	1.45	states/eV/atom

extended XYZ file:
```
4
Lattice="1.9076 1.1014 10.1082 -1.9076 1.1014 10.1082 0.0000 -2.2027 10.1082" Properties=species:S:1:pos:R:3 pbc="T T T"
Sm 0.0000 0.0000 3.3968
Sm 0.0000 0.0000 26.9278
Er 0.0000 0.0000 0.0000
P 0.0000 0.0000 15.1623
```

***

BeCo2Pb | PBE | optimized geometry

Results
SG	No. 12
density of states at the Fermi level	1.12	states/eV/atom
polymorph energy (0 for the lowest one)	35.1	kJ per mole of atoms

extended XYZ file:
```
4
Lattice="2.6833 -4.1136 0.0000 2.6833 4.1136 0.0000 -1.3814 0.0000 2.5895" Properties=species:S:1:pos:R:3 pbc="T T T"
Be 0.0000 0.0000 0.0000
Co 0.6510 2.0568 1.2948
Co 0.6510 -2.0568 1.2948
Pb 2.6833 0.0000 0.0000
```

***

ZrRe2Si | PBE | optimized geometry

Results
SG	No. 25
density of states at the Fermi level	0.51	states/eV/atom
uncorrected formation energy	-85	meV/atom

extended XYZ file:
```
4
Lattice="2.9480 0.0000 0.0000 0.0000 4.0710 0.0000 0.0000 0.0000 5.3565" Properties=species:S:1:pos:R:3 pbc="T T T"
Zr 0.0000 0.0000 0.0000
Re 0.0000 0.0000 2.6802
Re 1.4740 2.0355 1.4989
Si 1.4740 2.0355 3.9904
```

***

Hf6InPb | PBE | optimized geometry

Results
SG	No. 123
total DFT energy (no corrections)	-66.71	eV for the cell shown
density of states at the Fermi level	1.05	states/eV/atom

extended XYZ file:
```
8
Lattice="4.4354 0.0000 0.0000 0.0000 4.4354 0.0000 0.0000 0.0000 8.9593" Properties=species:S:1:pos:R:3 pbc="T T T"
Hf 0.0000 0.0000 0.0000
Hf 0.0000 0.0000 4.4796
Hf 0.0000 2.2177 2.2051
Hf 0.0000 2.2177 6.7542
Hf 2.2177 0.0000 2.2051
Hf 2.2177 0.0000 6.7542
In 2.2177 2.2177 0.0000
Pb 2.2177 2.2177 4.4796
```

***

MoCl3 | PBE | optimized geometry

Results
SG	No. 166
density of states at the Fermi level	1.03	states/eV/atom
polymorph energy (0 for the lowest one)	60.1	kJ per mole of atoms
uncorrected formation energy	-235	meV/atom

extended XYZ file:
```
4
Lattice="1.5836 0.9143 9.2287 -1.5836 0.9143 9.2287 0.0000 -1.8286 9.2287" Properties=species:S:1:pos:R:3 pbc="T T T"
Mo 0.0000 0.0000 0.0000
Cl 0.0000 0.0000 7.5529
Cl 0.0000 0.0000 13.8431
Cl 0.0000 0.0000 20.1333
```

***

NdTc2PN2 | PBE | optimized geometry

Results
SG	No. 11
density of states at the Fermi level	0.35	states/eV/atom
uncorrected formation energy	-463	meV/atom

extended XYZ file:
```
12
Lattice="6.2274 0.0000 0.0000 0.0000 5.4471 0.0000 -1.8735 0.0000 6.1948" Properties=species:S:1:pos:R:3 pbc="T T T"
Nd 0.4933 1.3618 1.6013
Nd 3.8606 4.0853 4.5935
Tc 0.7539 2.7379 4.8917
Tc 0.7539 5.4327 4.8917
Tc 3.6000 0.0144 1.3031
Tc 3.6000 2.7092 1.3031
P 1.7102 4.0853 0.4363
P 2.6437 1.3618 5.7585
N -0.1885 1.3618 3.9641
N 1.6411 4.0853 3.8799
N 2.7128 1.3618 2.3150
N 4.5425 4.0853 2.2307
```

***

KSrNi2 | PBE | optimized geometry

Results
SG	No. 12
density of states at the Fermi level	0.91	states/eV/atom
polymorph energy (0 for the lowest one)	16.0	kJ per mole of atoms

extended XYZ file:
```
4
Lattice="5.3239 -2.0929 0.0000 5.3239 2.0929 0.0000 -4.7852 0.0000 6.0362" Properties=species:S:1:pos:R:3 pbc="T T T"
K 0.0000 0.0000 0.0000
Sr 2.9313 0.0000 3.0181
Ni -0.0234 0.0000 3.2705
Ni 5.8859 0.0000 2.7657
```

***

CuSn | PBE | optimized geometry

Results
SG	No. 216
total DFT energy (no corrections)	-7.16	eV for the cell shown
density of states at the Fermi level	0.52	states/eV/atom

extended XYZ file:
```
2
Lattice="0.0000 2.9572 2.9572 2.9572 0.0000 2.9572 2.9572 2.9572 0.0000" Properties=species:S:1:pos:R:3 pbc="T T T"
Cu 0.0000 0.0000 0.0000
Sn 4.4358 4.4358 4.4358
```

***

LaHoTlCd | PBE | optimized geometry

Results
SG	No. 216
total DFT energy (no corrections)	-14.19	eV for the cell shown
density of states at the Fermi level	1.22	states/eV/atom

extended XYZ file:
```
4
Lattice="0.0000 3.8675 3.8675 3.8675 0.0000 3.8675 3.8675 3.8675 0.0000" Properties=species:S:1:pos:R:3 pbc="T T T"
La 0.0000 0.0000 0.0000
Ho 3.8675 3.8675 3.8675
Tl 1.9338 1.9338 1.9338
Cd 5.8013 5.8013 5.8013
```

***

Sm4ZnHg3 | PBE | optimized geometry

Results
SG	No. 25
density of states at the Fermi level	1.19	states/eV/atom
polymorph energy (0 for the lowest one)	4.8	kJ per mole of atoms

extended XYZ file:
```
8
Lattice="3.7695 0.0000 0.0000 0.0000 4.8472 0.0000 0.0000 0.0000 11.8897" Properties=species:S:1:pos:R:3 pbc="T T T"
Sm 0.0000 0.0000 0.0000
Sm 0.0000 2.4236 3.4868
Sm 1.8848 0.0000 5.8180
Sm 1.8848 2.4236 9.4693
Zn 1.8848 0.0000 2.6504
Hg 0.0000 0.0000 8.6373
Hg 0.0000 2.4236 6.7101
Hg 1.8848 2.4236 0.8501
```

***

TcPb2AuO | PBE | optimized geometry

Results
SG	No. 123
density of states at the Fermi level	0.56	states/eV/atom
uncorrected formation energy	-140	meV/atom

extended XYZ file:
```
5
Lattice="5.5076 0.0000 0.0000 0.0000 5.5076 0.0000 0.0000 0.0000 3.7440" Properties=species:S:1:pos:R:3 pbc="T T T"
Tc 0.0000 0.0000 0.0000
Pb 0.0000 2.7538 0.0000
Pb 2.7538 0.0000 0.0000
Au 2.7538 2.7538 1.8720
O 0.0000 0.0000 1.8720
```

***

MnFe5Si2Mo2 | PBE | optimized geometry

Results
SG	No. 127
density of states at the Fermi level	0.96	states/eV/atom
uncorrected formation energy	-62	meV/atom

extended XYZ file:
```
20
Lattice="8.5171 0.0000 0.0000 0.0000 8.5171 0.0000 0.0000 0.0000 3.3688" Properties=species:S:1:pos:R:3 pbc="T T T"
Mn 0.0000 0.0000 0.0000
Mn 4.2585 4.2585 0.0000
Fe 0.0000 4.2585 1.6844
Fe 0.4956 1.7139 1.6844
Fe 1.7139 8.0214 1.6844
Fe 2.5447 3.7629 1.6844
Fe 3.7629 5.9724 1.6844
Fe 4.2585 0.0000 1.6844
Fe 4.7542 2.5447 1.6844
Fe 5.9724 4.7542 1.6844
Fe 6.8032 0.4956 1.6844
Fe 8.0214 6.8032 1.6844
Si 1.0403 3.2182 0.0000
Si 3.2182 7.4767 0.0000
Si 5.2988 1.0403 0.0000
Si 7.4767 5.2988 0.0000
Mo 1.4969 5.7555 0.0000
Mo 2.7616 1.4969 0.0000
Mo 5.7555 7.0201 0.0000
Mo 7.0201 2.7616 0.0000
```

***

Hg2BiF4 | PBE | optimized geometry

Results
SG	No. 139
density of states at the Fermi level	0.25	states/eV/atom
uncorrected formation energy	-1640	meV/atom

extended XYZ file:
```
7
Lattice="-2.2379 2.2379 9.6562 2.2379 -2.2379 9.6562 2.2379 2.2379 -9.6562" Properties=species:S:1:pos:R:3 pbc="T T T"
Hg 0.0000 0.0000 4.6104
Hg 0.0000 0.0000 14.7019
Bi 0.0000 0.0000 0.0000
F 2.2379 0.0000 0.0000
F 0.0000 0.0000 2.2359
F 0.0000 2.2379 0.0000
F 0.0000 0.0000 17.0764
```

***

Pr4Y2Ho5 | PBE | optimized geometry

Results
SG	No. 12
density of states at the Fermi level	1.50	states/eV/atom
polymorph energy (0 for the lowest one)	12.3	kJ per mole of atoms

extended XYZ file:
```
11
Lattice="12.1721 -1.7718 0.0000 12.1721 1.7718 0.0000 -1.4974 0.0000 8.7511" Properties=species:S:1:pos:R:3 pbc="T T T"
Pr 0.4202 0.0000 1.7116
Pr 7.5392 0.0000 8.4232
Pr 15.3075 0.0000 0.3279
Pr 22.4265 0.0000 7.0395
Y 1.4562 0.0000 6.0275
Y 21.3905 0.0000 2.7235
Ho 3.8925 0.0000 3.5160
Ho 4.3801 0.0000 7.2469
Ho 11.4234 0.0000 4.3755
Ho 18.4666 0.0000 1.5042
Ho 18.9542 0.0000 5.2351
```

***

ScTlAgP2 | PBE | optimized geometry

Results
SG	No. 123
total DFT energy (no corrections)	-19.50	eV for the cell shown
density of states at the Fermi level	1.08	states/eV/atom

extended XYZ file:
```
5
Lattice="4.8066 0.0000 0.0000 0.0000 4.8066 0.0000 0.0000 0.0000 5.2574" Properties=species:S:1:pos:R:3 pbc="T T T"
Sc 0.0000 0.0000 0.0000
Tl 2.4033 2.4033 0.0000
Ag 0.0000 0.0000 2.6287
P 0.0000 2.4033 2.6287
P 2.4033 0.0000 2.6287
```

***

BeCr2AgTe | PBE | optimized geometry

Results
SG	No. 123
density of states at the Fermi level	0.91	states/eV/atom
uncorrected formation energy	622	meV/atom

extended XYZ file:
```
5
Lattice="4.4926 0.0000 0.0000 0.0000 4.4926 0.0000 0.0000 0.0000 4.4107" Properties=species:S:1:pos:R:3 pbc="T T T"
Be 0.0000 0.0000 0.0000
Cr 0.0000 2.2463 0.0000
Cr 2.2463 0.0000 0.0000
Ag 0.0000 0.0000 2.2054
Te 2.2463 2.2463 2.2054
```

***

KB2Rh2 | PBE | optimized geometry

Results
SG	No. 139
density of states at the Fermi level	0.35	states/eV/atom
polymorph energy (0 for the lowest one)	19.0	kJ per mole of atoms

extended XYZ file:
```
5
Lattice="-2.0660 2.0660 6.0651 2.0660 -2.0660 6.0651 2.0660 2.0660 -6.0651" Properties=species:S:1:pos:R:3 pbc="T T T"
K 0.0000 0.0000 0.0000
B 2.0660 0.0000 3.0325
B 0.0000 2.0660 3.0325
Rh 0.0000 0.0000 3.1101
Rh 0.0000 0.0000 9.0200
```

***

LiSCl4 | PBE | optimized geometry

Results
SG	No. 82
uncorrected formation energy	-553	meV/atom

extended XYZ file:
```
6
Lattice="-3.4910 3.4910 3.5550 3.4910 -3.4910 3.5550 3.4910 3.4910 -3.5550" Properties=species:S:1:pos:R:3 pbc="T T T"
Li 0.0000 0.0000 0.0000
S 3.4910 0.0000 1.7775
Cl 2.3424 -1.9634 2.0251
Cl 5.4543 -1.1486 1.5299
Cl 1.5276 1.1486 1.5299
Cl 4.6396 1.9634 2.0251
```

***

ZrMo2As | PBE | optimized geometry

Results
SG	No. 216
total DFT energy (no corrections)	-34.64	eV for the cell shown
density of states at the Fermi level	0.79	states/eV/atom

extended XYZ file:
```
4
Lattice="0.0000 3.2398 3.2398 3.2398 0.0000 3.2398 3.2398 3.2398 0.0000" Properties=species:S:1:pos:R:3 pbc="T T T"
Zr 0.0000 0.0000 0.0000
Mo 3.2398 3.2398 3.2398
Mo 4.8597 4.8597 4.8597
As 1.6199 1.6199 1.6199
```